No. 1
Entry from Alexandria: a geometry-optimized Pr2Sm3Er6Pu structure (PBE).

Calculated values
N(E_F)   22.8 states/eV per cell
Formation energy   0.05 eV/atom
SG   C2/m, No. 12
Raw total energy   -64.88 eV per cell

```
Pr2Sm3Er6Pu
1.0
3.092 -5.358 0.000
3.092 5.358 0.000
-2.066 0.000 11.514
Pr Sm Er Pu
2 3 6 1
Direct
0.167 0.833 0.000
0.833 0.167 0.000
0.000 0.000 0.500
0.333 0.667 0.500
0.667 0.333 0.500
0.089 0.417 0.751
0.254 0.254 0.249
0.417 0.089 0.751
0.583 0.911 0.249
0.746 0.746 0.751
0.911 0.583 0.249
0.500 0.500 0.000
```

***

No. 2
Entry from Alexandria: a geometry-optimized Cd2InRh structure (PBE).

Calculated values
N(E_F)   2.0 states/eV per cell
Formation energy   -0.08 eV/atom
SG   P4/mmm, No. 123
Raw total energy   -12.26 eV per cell

```
Cd2InRh
1.0
4.128 0.000 0.000
0.000 4.128 0.000
0.000 0.000 4.453
Cd In Rh
2 1 1
Direct
0.000 0.500 0.000
0.500 0.000 0.000
0.000 0.000 0.500
0.500 0.500 0.500
```

***

No. 3
Entry from Alexandria: a geometry-optimized PuSCl3 structure (PBE).

Calculated values
N(E_F)   14.5 states/eV per cell
SG   Imma, No. 74
Raw formation energy   -1.2574 eV per atom
Raw total energy   -60.57 eV per cell

```
PuSCl3
1.0
-3.976 4.939 4.350
3.976 -4.939 4.350
3.976 4.939 -4.350
Pu S Cl
2 2 6
Direct
0.500 0.000 0.000
0.500 0.500 0.500
0.313 0.063 0.250
0.687 0.937 0.750
0.248 0.000 0.748
0.248 0.500 0.248
0.295 0.545 0.750
0.705 0.455 0.250
0.752 0.000 0.252
0.752 0.500 0.752
```

***

No. 4
Entry from Alexandria: a geometry-optimized MgGaMo structure (PBE).

Calculated values
N(E_F)   3.6 states/eV per cell
Formation energy   0.19 eV/atom
SG   Fmmm, No. 69
Raw total energy   -29.74 eV per cell

```
MgGaMo
1.0
0.000 4.632 4.979
2.646 0.000 4.979
2.646 4.632 0.000
Mg Ga Mo
2 2 2
Direct
0.186 0.814 0.186
0.814 0.186 0.814
0.281 0.281 0.719
0.719 0.719 0.281
0.250 0.250 0.250
0.750 0.750 0.750
```

***

No. 5
Entry from Alexandria: a geometry-optimized PmGeBr structure (PBE).

Calculated values
N(E_F)   1.6 states/eV per cell
SG   C2/m, No. 12
Raw formation energy   -1.2019 eV per atom
Raw total energy   -29.29 eV per cell

```
PmGeBr
1.0
3.712 -2.170 0.000
3.712 2.170 0.000
-0.413 0.000 11.194
Pm Ge Br
2 2 2
Direct
0.008 0.008 0.177
0.992 0.992 0.823
0.333 0.333 0.013
0.667 0.667 0.987
0.318 0.318 0.664
0.682 0.682 0.336
```

***

No. 6
Entry from Alexandria: a geometry-optimized MgMo6S8 structure (PBE).

Calculated values
N(E_F)   18.1 states/eV per cell
SG   P1, No. 1
Raw formation energy   -0.7741 eV per atom
Raw total energy   -222.43 eV per cell

```
MgMo6S8
1.0
6.559 0.000 0.000
-0.573 6.538 0.000
-0.345 -1.004 13.038
Mg Mo S
2 12 16
Direct
0.000 0.000 0.000
0.151 0.754 0.526
0.290 0.428 0.217
0.303 0.419 0.719
0.480 0.095 0.787
0.482 0.099 0.286
0.524 0.470 0.902
0.528 0.467 0.400
0.624 0.287 0.126
0.628 0.284 0.624
0.670 0.656 0.240
0.672 0.659 0.739
0.849 0.335 0.807
0.862 0.327 0.308
0.201 0.252 0.879
0.205 0.257 0.373
0.290 0.090 0.122
0.293 0.083 0.622
0.347 0.745 0.328
0.352 0.739 0.825
0.461 0.601 0.082
0.468 0.601 0.580
0.683 0.153 0.945
0.691 0.153 0.443
0.800 0.016 0.700
0.805 0.010 0.198
0.859 0.671 0.904
0.862 0.665 0.403
0.947 0.498 0.153
0.951 0.502 0.647
```

***

No. 7
Entry from Alexandria: a geometry-optimized KCaV3 structure (PBE).

Calculated values
N(E_F)   9.0 states/eV per cell
Formation energy   2.05 eV/atom
SG   Pm-3m, No. 221
Energy above the lowest structure with this stoichiometry   0 meV per atom
Raw total energy   -20.20 eV per cell

```
KCaV3
1.0
5.628 0.000 0.000
0.000 5.628 0.000
0.000 0.000 5.628
K Ca V
1 1 3
Direct
0.000 0.000 0.000
0.500 0.500 0.500
0.000 0.500 0.500
0.500 0.000 0.500
0.500 0.500 0.000
```

***

Question: Among the records above, which one has the highest raw total energy?
Answer: Cd2InRh